Record 1
Compound: Rb2CeWO6
Source: Alexandria via LeMat-Bulk
Functional: PBE with a Hubbard U
Structure: relaxed

Values from the calculation:
ρ = 6.357 Mg/m³
Energy = -6.89 eV/atom
Size of the total moment = 0.00 μB/f.u.
SG = Fm-3m, No. 225
Crystal system = cubic

Cell lengths 6.0210, 6.0210, 6.0210 Å; angles 60.00, 60.00, 60.00 degrees
Positions (direct):
Rb (0.2500, 0.2500, 0.2500)
Rb (0.7500, 0.7500, 0.7500)
Ce (0.0000, 0.0000, 0.0000)
W (0.5000, 0.5000, 0.5000)
O (0.2687, 0.2687, 0.7313)
O (0.2687, 0.7313, 0.2687)
O (0.2687, 0.7313, 0.7313)
O (0.7313, 0.2687, 0.2687)
O (0.7313, 0.2687, 0.7313)
O (0.7313, 0.7313, 0.2687)



Record 2
Compound: Rb2CeW3O12
Source: Alexandria via LeMat-Bulk
Functional: PBE with a Hubbard U
Structure: relaxed

Values from the calculation:
ρ = 5.672 Mg/m³
Energy = -7.22 eV/atom
Size of the total moment = 0.00 μB/f.u.
SG = R-3m, No. 166
Crystal system = trigonal

Cell lengths 7.6977, 7.6977, 7.6977 Å; angles 58.14, 58.14, 58.14 degrees
Positions (direct):
Rb (0.1318, 0.1318, 0.1318)
Rb (0.8682, 0.8682, 0.8682)
Ce (0.5000, 0.5000, 0.5000)
W (0.0000, 0.5000, 0.5000)
W (0.5000, 0.0000, 0.5000)
W (0.5000, 0.5000, 0.0000)
O (0.1484, 0.5744, 0.5744)
O (0.1979, 0.1979, 0.5663)
O (0.1979, 0.5663, 0.1979)
O (0.4256, 0.4256, 0.8516)
O (0.4256, 0.8516, 0.4256)
O (0.4337, 0.8021, 0.8021)
O (0.5663, 0.1979, 0.1979)
O (0.5744, 0.1484, 0.5744)
O (0.5744, 0.5744, 0.1484)
O (0.8021, 0.4337, 0.8021)
O (0.8021, 0.8021, 0.4337)
O (0.8516, 0.4256, 0.4256)



Q: Number 2 is which compound?
A: Rb2CeW3O12



Q: What is the ρ in the second record?
A: 5.672 Mg/m³



Q: Among the records above, which one has the highest energy?
A: Rb2CeWO6



What did the first record say?
Compound: Rb2CeWO6
Source: Alexandria via LeMat-Bulk
Functional: PBE with a Hubbard U
Structure: relaxed

Values from the calculation:
ρ = 6.357 Mg/m³
Energy = -6.89 eV/atom
Size of the total moment = 0.00 μB/f.u.
SG = Fm-3m, No. 225
Crystal system = cubic

Cell lengths 6.0210, 6.0210, 6.0210 Å; angles 60.00, 60.00, 60.00 degrees
Positions (direct):
Rb (0.2500, 0.2500, 0.2500)
Rb (0.7500, 0.7500, 0.7500)
Ce (0.0000, 0.0000, 0.0000)
W (0.5000, 0.5000, 0.5000)
O (0.2687, 0.2687, 0.7313)
O (0.2687, 0.7313, 0.2687)
O (0.2687, 0.7313, 0.7313)
O (0.7313, 0.2687, 0.2687)
O (0.7313, 0.2687, 0.7313)
O (0.7313, 0.7313, 0.2687)